Computed, not measured: Tm3BeP2Ir9 after structural relaxation at the PBE level of DFT.

Calculated values
ΔE_f: -0.425 eV/atom

Lattice parameters (Å, degrees): 6.2496 6.2496 7.4588 90.00 90.00 120.00
Space group P-3m1 (No. 164)
One atom of each set of equivalent atoms:
Tm (0.0000, 0.0000, 0.0000) x1
Tm (0.3333, 0.6667, 0.6589) x2
Be (0.0000, 0.0000, 0.5000) x1
P (0.3333, 0.6667, 0.1837) x2
Ir (0.0000, 0.5000, 0.0000) x3
Ir (0.1577, 0.3154, 0.3311) x6

---

Computed, not measured: UBePIr after structural relaxation at the PBE level of DFT.

Calculated values
ΔE_f: -0.685 eV/atom

Lattice parameters (Å, degrees): 3.973 3.973 8.281 90.00 90.00 90.00
Space group P4/nmm (No. 129, origin choice 2)
One atom of each set of equivalent atoms:
U (0.250, 0.250, 0.213) x2
Be (0.250, 0.250, 0.630) x2
P (0.250, 0.250, 0.881) x2
Ir (0.250, 0.750, 0.500) x2

---

Computed, not measured: BeVPIr2 after structural relaxation at the PBE level of DFT.

Calculated values
ΔE_f: 1.328 eV/atom

Lattice parameters (Å, degrees): 4.518 4.518 4.134 90.00 90.00 90.00
Space group P4/mmm (No. 123)
One atom of each set of equivalent atoms:
Be (0.000, 0.000, 0.000) x1
V (0.000, 0.000, 0.500) x1
P (0.500, 0.500, 0.000) x1
Ir (0.000, 0.500, 0.500) x2

---

Computed, not measured: PaBeIr2 after structural relaxation at the PBE level of DFT.

Calculated values
ΔE_f: -0.677 eV/atom

Lattice parameters (Å, degrees): 3.9146 3.9146 15.2312 90.00 90.00 120.00
Space group R-3m (No. 166, hexagonal axes)
One atom of each set of equivalent atoms:
Pa (0.0000, 0.0000, 0.0000) x3
Be (0.0000, 0.0000, 0.5000) x3
Ir (0.0000, 0.0000, 0.2209) x6

---

Computed, not measured: Pa2BeIr6 after structural relaxation at the PBE level of DFT.

Calculated values
ΔE_f: -0.779 eV/atom

Lattice parameters (Å, degrees): 8.361 8.361 8.361 90.00 90.00 90.00
Space group Fm-3m (No. 225)
One atom of each set of equivalent atoms:
Pa (0.250, 0.250, 0.250) x8
Be (0.000, 0.000, 0.000) x4
Ir (0.000, 0.000, 0.262) x24

---

Computed, not measured: PaBe17Ir after structural relaxation at the PBE level of DFT.

Calculated values
ΔE_f: -0.048 eV/atom

Lattice parameters (Å, degrees): 7.5626 7.5626 10.9551 90.00 90.00 120.00
Space group R3m (No. 160, hexagonal axes)
One atom of each set of equivalent atoms:
Pa (0.0000, 0.0000, 0.0000) x3
Be (0.0000, 0.0000, 0.5559) x3
Be (0.0000, 0.0000, 0.7496) x3
Be (0.0471, 0.3704, 0.3208) x18
Be (0.1708, 0.3417, 0.8342) x9
Be (0.1727, 0.3453, 0.4922) x9
Be (0.1781, 0.3562, 0.1374) x9
Ir (0.0000, 0.0000, 0.3327) x3

---

Computed, not measured: PaBeIr2 after structural relaxation at the PBE level of DFT.

Calculated values
ΔE_f: -0.706 eV/atom

Lattice parameters (Å, degrees): 3.970 17.196 3.909 90.00 90.00 90.00
Space group Cmmm (No. 65)
One atom of each set of equivalent atoms:
Pa (0.000, 0.135, 0.000) x4
Be (0.000, 0.430, 0.500) x4
Ir (0.000, 0.000, 0.500) x2
Ir (0.000, 0.300, 0.500) x4
Ir (0.000, 0.500, 0.000) x2

---

Computed, not measured: PaBeIr2 after structural relaxation at the PBE level of DFT.

Calculated values
ΔE_f: -0.416 eV/atom

Lattice parameters (Å, degrees): 4.346 3.659 4.369 90.00 101.64 90.00
Space group P2/m (No. 10)
One atom of each set of equivalent atoms:
Pa (0.000, 0.000, 0.000) x1
Be (0.500, 0.000, 0.500) x1
Ir (0.295, 0.500, 0.706) x2

---

Computed, not measured: Pa2BeIr after structural relaxation at the PBE level of DFT.

Calculated values
ΔE_f: 0.512 eV/atom

Lattice parameters (Å, degrees): 2.9971 2.9971 31.9879 90.00 90.00 120.00
Space group R-3m (No. 166, hexagonal axes)
One atom of each set of equivalent atoms:
Pa (0.0000, 0.0000, 0.0906) x6
Be (0.0000, 0.0000, 0.0000) x3
Ir (0.0000, 0.0000, 0.5000) x3

---

Computed, not measured: PaBe4Ir after structural relaxation at the PBE level of DFT.

Calculated values
ΔE_f: 0.010 eV/atom

Lattice parameters (Å, degrees): 6.752 6.752 6.752 90.00 90.00 90.00
Space group F-43m (No. 216)
One atom of each set of equivalent atoms:
Pa (0.000, 0.000, 0.000) x4
Be (0.123, 0.123, 0.623) x16
Ir (0.250, 0.250, 0.250) x4

---

Computed, not measured: PaBeIr2 after structural relaxation at the PBE level of DFT.

Calculated values
ΔE_f: -0.550 eV/atom

Lattice parameters (Å, degrees): 2.994 2.994 6.870 90.00 90.00 90.00
Space group P4/mmm (No. 123)
One atom of each set of equivalent atoms:
Pa (0.000, 0.000, 0.000) x1
Be (0.000, 0.000, 0.500) x1
Ir (0.500, 0.500, 0.302) x2

---

Computed, not measured: PaBe2Ir3 after structural relaxation at the PBE level of DFT.

Calculated values
ΔE_f: -0.709 eV/atom

Lattice parameters (Å, degrees): 5.4479 5.4479 3.3962 90.00 90.00 120.00
Space group P6/mmm (No. 191)
One atom of each set of equivalent atoms:
Pa (0.0000, 0.0000, 0.0000) x1
Be (0.3333, 0.6667, 0.0000) x2
Ir (0.0000, 0.5000, 0.5000) x3

---

Computed, not measured: Pa2Be16Ir after structural relaxation at the PBE level of DFT.

Calculated values
ΔE_f: -0.174 eV/atom

Lattice parameters (Å, degrees): 7.8679 7.8679 11.4270 90.00 90.00 120.00
Space group R3m (No. 160, hexagonal axes)
One atom of each set of equivalent atoms:
Pa (0.0000, 0.0000, 0.0000) x3
Pa (0.0000, 0.0000, 0.3109) x3
Be (0.0000, 0.0000, 0.7574) x3
Be (0.0000, 0.2754, 0.6517) x18
Be (0.0059, 0.5030, 0.4943) x9
Be (0.1682, 0.3363, 0.1467) x9
Be (0.1685, 0.3371, 0.4870) x9
Ir (0.0000, 0.0000, 0.5521) x3

---

Computed, not measured: PaBe2Ir2Pt after structural relaxation at the PBE level of DFT.

Calculated values
ΔE_f: -0.293 eV/atom

Lattice parameters (Å, degrees): 4.126 4.126 5.583 90.00 90.00 90.00
Space group P4/mmm (No. 123)
One atom of each set of equivalent atoms:
Pa (0.000, 0.000, 0.000) x1
Be (0.000, 0.500, 0.500) x2
Ir (0.500, 0.500, 0.243) x2
Pt (0.000, 0.000, 0.500) x1

---

Computed, not measured: Pa2Be4Ir3Pt after structural relaxation at the PBE level of DFT.

Calculated values
ΔE_f: -0.670 eV/atom

Lattice parameters (Å, degrees): 3.950 3.950 9.632 90.00 90.00 90.00
Space group P-4m2 (No. 115)
One atom of each set of equivalent atoms:
Pa (0.000, 0.500, 0.249) x2
Be (0.000, 0.000, 0.000) x1
Be (0.000, 0.500, 0.623) x2
Be (0.500, 0.500, 0.000) x1
Ir (0.000, 0.500, 0.865) x2
Ir (0.500, 0.500, 0.500) x1
Pt (0.000, 0.000, 0.500) x1

---

Computed, not measured: PaBe2Ir2Rh after structural relaxation at the PBE level of DFT.

Calculated values
ΔE_f: -0.305 eV/atom

Lattice parameters (Å, degrees): 4.234 4.234 10.226 90.00 90.00 90.00
Space group I4/mmm (No. 139)
One atom of each set of equivalent atoms:
Pa (0.000, 0.000, 0.000) x2
Be (0.000, 0.000, 0.295) x4
Ir (0.000, 0.500, 0.250) x4
Rh (0.000, 0.000, 0.500) x2

---

Computed, not measured: Pa2Be4Ir3Rh after structural relaxation at the PBE level of DFT.

Calculated values
ΔE_f: -0.630 eV/atom

Lattice parameters (Å, degrees): 3.992 3.992 9.338 90.00 90.00 90.00
Space group P-4m2 (No. 115)
One atom of each set of equivalent atoms:
Pa (0.000, 0.500, 0.243) x2
Be (0.000, 0.000, 0.500) x1
Be (0.000, 0.500, 0.879) x2
Be (0.500, 0.500, 0.500) x1
Ir (0.000, 0.000, 0.000) x1
Ir (0.000, 0.500, 0.632) x2
Rh (0.500, 0.500, 0.000) x1

---

Computed, not measured: PaBe2Ir2Ru after structural relaxation at the PBE level of DFT.

Calculated values
ΔE_f: -0.169 eV/atom

Lattice parameters (Å, degrees): 4.229 4.229 10.159 90.00 90.00 90.00
Space group I4/mmm (No. 139)
One atom of each set of equivalent atoms:
Pa (0.000, 0.000, 0.000) x2
Be (0.000, 0.000, 0.291) x4
Ir (0.000, 0.500, 0.250) x4
Ru (0.000, 0.000, 0.500) x2

---

Computed, not measured: Pa2Be4Si3Ir after structural relaxation at the PBE level of DFT.

Calculated values
VASP energy: -63.529 eV for the cell shown

Lattice parameters (Å, degrees): 3.911 3.911 9.435 90.00 90.00 90.00
Space group P-4m2 (No. 115)
One atom of each set of equivalent atoms:
Pa (0.000, 0.500, 0.249) x2
Be (0.000, 0.000, 0.500) x1
Be (0.000, 0.500, 0.868) x2
Be (0.500, 0.500, 0.500) x1
Si (0.000, 0.000, 0.000) x1
Si (0.000, 0.500, 0.630) x2
Ir (0.500, 0.500, 0.000) x1

---

Computed, not measured: Pa2BeSi4Ir3 after structural relaxation at the PBE level of DFT.

Calculated values
VASP energy: -79.283 eV for the cell shown

Lattice parameters (Å, degrees): 4.087 4.087 9.899 90.00 90.00 90.00
Space group P-4m2 (No. 115)
One atom of each set of equivalent atoms:
Pa (0.000, 0.500, 0.246) x2
Be (0.500, 0.500, 0.000) x1
Si (0.000, 0.000, 0.500) x1
Si (0.000, 0.500, 0.871) x2
Si (0.500, 0.500, 0.500) x1
Ir (0.000, 0.000, 0.000) x1
Ir (0.000, 0.500, 0.631) x2

---

Computed, not measured: Pa2BeSi3Ir4 after structural relaxation at the PBE level of DFT.

Calculated values
VASP energy: -83.770 eV for the cell shown

Lattice parameters (Å, degrees): 4.070 4.070 9.918 90.00 90.00 90.00
Space group P-4m2 (No. 115)
One atom of each set of equivalent atoms:
Pa (0.000, 0.500, 0.242) x2
Be (0.500, 0.500, 0.000) x1
Si (0.000, 0.000, 0.000) x1
Si (0.000, 0.500, 0.634) x2
Ir (0.000, 0.000, 0.500) x1
Ir (0.000, 0.500, 0.872) x2
Ir (0.500, 0.500, 0.500) x1

---

Computed, not measured: Pa2Be2ZnIr5 after structural relaxation at the PBE level of DFT.

Calculated values
ΔE_f: -0.743 eV/atom

Lattice parameters (Å, degrees): 9.344 9.344 3.543 90.00 90.00 90.00
Space group P4/mbm (No. 127)
One atom of each set of equivalent atoms:
Pa (0.178, 0.322, 0.000) x4
Be (0.119, 0.619, 0.000) x4
Zn (0.000, 0.000, 0.000) x2
Ir (0.000, 0.500, 0.500) x2
Ir (0.074, 0.788, 0.500) x8

---

Computed, not measured: Pa2Be3ZnIr4 after structural relaxation at the PBE level of DFT.

Calculated values
ΔE_f: -0.604 eV/atom

Lattice parameters (Å, degrees): 3.975 3.975 9.937 90.00 90.00 90.00
Space group P-4m2 (No. 115)
One atom of each set of equivalent atoms:
Pa (0.000, 0.500, 0.232) x2
Be (0.000, 0.500, 0.886) x2
Be (0.500, 0.500, 0.500) x1
Zn (0.000, 0.000, 0.500) x1
Ir (0.000, 0.000, 0.000) x1
Ir (0.000, 0.500, 0.656) x2
Ir (0.500, 0.500, 0.000) x1